Entry from the Alexandria database: a geometry-optimized Cr3Os structure (PBE).

Computed properties:
calculated formation energy = 0.7 eV/f.u.

abc: 2.5786 2.5786 8.1591
angles: 90.00 90.00 112.46
With the nearest neighbours (Å) after each atom.
Fractional coordinates of all 4 atoms:
Cr: 0.5000 0.5000 0.7360  6 Cr 2.40-2.58, 2 Os 2.59
Cr: 0.0000 0.0000 0.5000  8 Cr 2.40-2.58
Cr: 0.5000 0.5000 0.2640  6 Cr 2.40-2.58, 2 Os 2.59
Os: 0.0000 0.0000 0.0000  6 Os 2.58-2.87, 4 Cr 2.59

=====

Entry from the Alexandria database: a geometry-optimized Pm8GeP3I4 structure (PBE).

Computed properties:
E_form (uncorrected) = -1.28 eV/atom

abc: 8.4648 9.0604 8.4650
angles: 117.85 120.00 90.00
With the nearest neighbours (Å) after each atom.
Fractional coordinates of all 16 atoms:
Pm: 0.7662 0.3097 0.5324  2 P 2.82, 1 Ge 2.89
Pm: 0.7662 0.3097 0.0435  2 P 2.82, 1 Ge 2.89
Pm: 0.2710 0.3130 0.5420  3 P 2.83
Pm: 0.2338 0.6903 0.4676  2 P 2.82, 1 Ge 2.89
Pm: 0.7290 0.6870 0.4580  3 P 2.83
Pm: 0.7227 0.6903 0.9565  2 P 2.82, 1 Ge 2.89
Pm: 0.2338 0.6903 0.9565  2 P 2.82, 1 Ge 2.89
Pm: 0.2773 0.3097 0.0435  2 P 2.82, 1 Ge 2.89
P: 0.0000 0.5000 0.5000  6 Pm 2.82-2.83
P: 0.5000 0.5000 0.0000  6 Pm 2.82-2.83
P: 0.5000 0.5000 0.5000  6 Pm 2.82-2.83
I: 0.0000 0.0000 0.5000  6 Pm 3.42
I: 0.5000 0.0000 0.5000  6 Pm 3.42
I: 0.5000 0.0000 0.0000  6 Pm 3.36
I: 0.0000 0.0000 0.0000  6 Pm 3.42
Ge: 0.0000 0.5000 0.0000  6 Pm 2.89

=====

Entry from the Alexandria database: a geometry-optimized BaTiReBi2 structure (PBE).

Computed properties:
calculated formation energy = 2.2 eV/f.u.

abc: 5.5743 4.8088 5.5743
angles: 90.00 90.00 90.00
With the nearest neighbours (Å) after each atom.
Fractional coordinates of all 5 atoms:
Bi: 0.5000 0.0000 0.0000  2 Ti 2.79
Bi: 0.0000 0.0000 0.5000  2 Ti 2.79
Ba: 0.5000 0.5000 0.5000  8 Bi 3.68, 4 Re 3.94
Re: 0.0000 0.5000 0.0000  2 Ti 2.40
Ti: 0.0000 0.0000 0.0000  2 Re 2.40

=====

Number 1: spin magnetization 0.0 μB per cell. Number 2: spin magnetization 0.0 μB per cell. Number 3: spin magnetization 1.8 μB per cell.